The following is a DFT calculation (PBE+U) of crystalline AcNpMoO6 at its relaxed geometry.

```
AcNpMoO6
1.0
5.968 0.000 0.000
-2.984 5.169 0.000
0.000 0.000 8.617
Ac Np Mo O
2 2 2 12
direct
0.333 0.667 0.250 Ac
0.667 0.333 0.750 Ac
0.333 0.667 0.750 Np
0.667 0.333 0.250 Np
0.000 0.000 0.000 Mo
0.000 0.000 0.500 Mo
0.056 0.353 0.620 O
0.056 0.703 0.880 O
0.297 0.353 0.880 O
0.297 0.944 0.620 O
0.353 0.056 0.120 O
0.353 0.297 0.380 O
0.647 0.703 0.620 O
0.647 0.944 0.880 O
0.703 0.056 0.380 O
0.703 0.647 0.120 O
0.944 0.297 0.120 O
0.944 0.647 0.380 O
```

Computed properties:
* space-group type: P-31c, No. 163
* electronic total energy: -8.49 eV per atom
* density: 8.19 g/cm³